[1]
A relaxed structure of InHgSe2. Source: the Alexandria database, functional GGA-PBEsol.

Cell and atoms, written as POSCAR:
```
InHgSe2
1.0
-0.2328 -4.9013 -0.9421
0.8849 -3.2911 3.6538
-3.7469 -2.7276 1.8669
In Hg Se
1 1 2
Direct
0.2500 0.2500 0.2500
0.5000 0.5000 0.5000
0.0000 0.0000 0.0000
0.7500 0.7500 0.7500
```

Values from the calculation:
The value obtained for the uncorrected formation energy is 0.1242 eV per atom. The size of the total moment comes out at 0.0 μB/f.u. As for the crystal system: cubic.


[2]
A relaxed structure of K2ScIr. Source: the Alexandria database, functional GGA-PBEsol.

Cell and atoms, written as POSCAR:
```
K2ScIr
1.0
-2.7884 -0.3016 -2.1968
1.2252 -5.8393 -0.7534
-2.9418 1.6543 6.3956
Sc Ir K
1 1 2
Direct
0.5900 0.5900 0.1800
0.2171 0.7171 0.4341
0.9371 0.9371 0.8743
0.7558 0.2558 0.5115
```

Values from the calculation:
Its formation energy is 325 meV per atom. The size of the total moment comes out at 0.0 μB/f.u. As for the crystal system: orthorhombic. The value obtained for the distance to the lowest polymorph of the same formula is 0.00 eV per formula unit.


[3]
A relaxed structure of ZrCoP2. Source: the Alexandria database, functional GGA-PBEsol.

Cell and atoms, written as POSCAR:
```
ZrCoP2
1.0
3.0047 0.0000 0.0000
0.0000 3.0047 0.0000
0.0000 0.0000 5.9818
P Zr Co
2 1 1
Direct
0.0000 0.0000 0.6973
0.0000 0.0000 0.3027
0.5000 0.5000 0.0000
0.5000 0.5000 0.5000
```

Values from the calculation:
Its formation energy is -421 meV per atom. The size of the total moment comes out at 0.0 μB/f.u. As for the crystal system: tetragonal. The value obtained for the distance to the lowest polymorph of the same formula is 0.89 eV per formula unit.


[4]
A relaxed structure of CoIr2Pt. Source: the Alexandria database, functional GGA-PBEsol.

Cell and atoms, written as POSCAR:
```
CoIr2Pt
1.0
-2.5614 0.7162 0.1070
-1.0719 -3.4347 -2.8355
-0.6218 -2.7579 3.5757
Ir Pt Co
2 1 1
Direct
0.7466 0.7447 0.0000
0.2534 0.2553 0.0000
0.0000 0.0000 0.5000
0.5000 0.5000 0.5000
```

Values from the calculation:
Its formation energy is 266 meV per atom. The size of the total moment comes out at 2.2 μB/f.u. As for the crystal system: monoclinic. The value obtained for the distance to the lowest polymorph of the same formula is 1.00 eV per formula unit.


[5]
A relaxed structure of Al2Sb. Source: the Alexandria database, functional GGA-PBEsol.

Cell and atoms, written as POSCAR:
```
Al2Sb
1.0
3.7088 0.0000 0.0000
0.0000 3.7088 0.0000
-1.8544 -1.8544 9.5069
Sb Al
2 4
Direct
0.0000 0.0000 0.0000
0.2500 0.7500 0.5000
0.6770 0.1770 0.3540
0.5730 0.5730 0.1460
0.4270 0.4270 0.8540
0.8230 0.3230 0.6460
```

Values from the calculation:
The value obtained for the uncorrected formation energy is 0.2034 eV per atom. The size of the total moment comes out at 0.0 μB/f.u. As for the crystal system: tetragonal.


[6]
A relaxed structure of AlTl2Sb. Source: the Alexandria database, functional GGA-PBEsol.

Cell and atoms, written as POSCAR:
```
AlTl2Sb
1.0
-2.4747 3.0286 2.6643
-4.0173 -1.5685 -1.9484
2.8911 -3.9296 2.9495
Al Tl Sb
1 2 1
Direct
0.5000 0.5000 0.0000
0.0000 0.0000 0.0000
0.7500 0.2500 0.5000
0.2500 0.7500 0.5000
```

Values from the calculation:
The value obtained for the uncorrected formation energy is 0.1721 eV per atom. The size of the total moment comes out at 0.0 μB/f.u. As for the crystal system: tetragonal. The value obtained for the distance to the lowest polymorph of the same formula is 0.37 eV per formula unit.


| no. | raw total energy (eV per atom) |
| --- | --- |
| 1 | -2.688 |
| 2 | -4.348 |
| 3 | -7.524 |
| 4 | -8.321 |
| 5 | -4.043 |
| 6 | -3.305 |